1.
BaLiC3 (GGA-PBE, relaxed); symmetry = Pm-3m; relative energy among the computed polymorphs = 0 meV/atom; ρ = 4.126 g/cm3; calculated formation energy = 2.274 eV per atom; volume = 72.6 Å³/f.u.; density of states at the Fermi level = 4.418 states/eV/f.u.
1.0
4.171 0.000 0.000
0.000 4.171 0.000
0.000 0.000 4.171
Ba Li C
1 1 3
Cartesian
0.000 0.000 0.000
2.085 2.085 2.085
0.000 2.085 2.085
2.085 0.000 2.085
2.085 2.085 0.000



2.
RbHfPa2S8 (GGA-PBE, relaxed); symmetry = P2/m; energy relative to the elements, uncorrected = -1.26 eV per atom; ρ = 4.884 g/cm3; volume = 334.1 Å³/f.u.; density of states at the Fermi level = 5.583 states/eV/f.u.
1.0
6.191 0.000 0.000
0.000 8.479 0.000
-0.184 0.000 6.365
Rb Hf Pa S
1 1 2 8
Cartesian
0.000 0.000 0.000
0.000 4.240 0.000
3.003 2.109 3.182
3.003 6.370 3.182
1.378 2.534 1.215
1.378 5.946 1.215
1.646 0.000 3.941
1.651 4.240 4.408
4.356 4.240 1.956
4.361 0.000 2.424
4.629 2.534 5.149
4.629 5.946 5.149



3.
Hg2OsCl (GGA-PBE, relaxed); symmetry = Pm; relative energy among the computed polymorphs = 263 meV/atom; energy relative to the elements, uncorrected = 0.75 eV per atom; ρ = 13.242 g/cm3; volume = 78.6 Å³/f.u.; density of states at the Fermi level = 2.068 states/eV/f.u.
1.0
3.096 0.000 0.000
0.000 4.747 0.000
-0.576 0.000 5.349
Hg Os Cl
2 1 1
Cartesian
0.000 0.000 0.000
0.068 2.373 3.378
1.535 2.373 0.744
1.547 0.000 2.474



4.
AgSnPS2 (GGA-PBE, relaxed); symmetry = P4/mmm; relative energy among the computed polymorphs = 0 meV/atom; energy relative to the elements, uncorrected = 0.65 eV per atom; ρ = 4.633 g/cm3; volume = 115.3 Å³/f.u.; density of states at the Fermi level = 3.898 states/eV/f.u.
1.0
4.961 0.000 0.000
0.000 4.961 0.000
0.000 0.000 4.685
Ag Sn P S
1 1 1 2
Cartesian
0.000 0.000 0.000
2.480 2.480 2.343
0.000 0.000 2.343
0.000 2.480 0.000
2.480 0.000 0.000



5.
ZrC4 (GGA-PBE, relaxed); symmetry = I4/m; relative energy among the computed polymorphs = 713 meV/atom; ρ = 4.605 g/cm3; calculated formation energy = 1.666 eV per atom; volume = 50.2 Å³/f.u.; density of states at the Fermi level = 1.578 states/eV/f.u.
1.0
-2.697 2.697 1.726
2.697 -2.697 1.726
2.697 2.697 -1.726
Zr C
1 4
Cartesian
0.000 0.000 0.000
2.279 0.587 0.000
2.111 -0.419 1.726
0.587 3.116 0.000
0.419 2.111 1.726



6.
Ba2AgHg (GGA-PBE, relaxed); symmetry = P2_1/m; ρ = 6.328 g/cm3; calculated formation energy = -0.375 eV per atom; volume = 153.0 Å³/f.u.; density of states at the Fermi level = 3.203 states/eV/f.u.
1.0
6.683 0.000 0.000
0.000 5.216 0.000
-3.256 0.000 8.780
Ba Ag Hg
4 2 2
Cartesian
0.064 1.304 3.786
-1.518 1.304 8.171
4.945 3.912 0.609
3.363 3.912 4.994
0.094 3.912 6.269
3.333 1.304 2.512
1.668 3.912 1.898
1.759 1.304 6.882



7.
Th6TeAs2Ir3 (GGA-PBE, relaxed); symmetry = C2/m; energy relative to the elements, uncorrected = -1.12 eV per atom; ρ = 11.302 g/cm3; volume = 330.0 Å³/f.u.; density of states at the Fermi level = 7.554 states/eV/f.u.
1.0
9.478 -2.073 0.000
9.478 2.073 0.000
-2.688 0.000 8.397
Th Te As Ir
6 1 2 3
Cartesian
-0.511 0.000 1.868
4.948 0.000 3.585
3.944 0.000 7.617
12.324 0.000 0.781
11.320 0.000 4.812
16.780 0.000 6.529
8.134 0.000 4.199
0.911 0.000 6.971
15.358 0.000 1.426
2.253 0.000 2.774
9.478 0.000 0.000
14.016 0.000 5.623



8.
Nd2Cd3Si2 (GGA-PBE, relaxed); symmetry = Cmmm; energy relative to the elements, uncorrected = -0.44 eV per atom; ρ = 6.737 g/cm3; volume = 168.1 Å³/f.u.; density of states at the Fermi level = 2.742 states/eV/f.u.
1.0
1.928 -10.361 0.000
1.928 10.361 0.000
0.000 0.000 4.207
Nd Cd Si
2 3 2
Cartesian
1.928 6.850 0.000
1.928 -6.850 0.000
0.000 0.000 0.000
1.928 1.495 2.104
1.928 -1.495 2.104
1.928 4.480 2.104
1.928 -4.480 2.104



9.
CoPb3Se (GGA-PBE, relaxed); symmetry = Pm-3m; relative energy among the computed polymorphs = 0 meV/atom; energy relative to the elements, uncorrected = 0.02 eV per atom; ρ = 9.585 g/cm3; volume = 131.6 Å³/f.u.; density of states at the Fermi level = 2.976 states/eV/f.u.
1.0
5.086 0.000 0.000
0.000 5.086 0.000
0.000 0.000 5.086
Co Pb Se
1 3 1
Cartesian
0.000 0.000 0.000
0.000 0.000 2.543
0.000 2.543 0.000
2.543 0.000 0.000
2.543 2.543 2.543



10.
Tl2CdIn9 (GGA-PBE, relaxed); symmetry = P4/mmm; ρ = 7.854 g/cm3; calculated formation energy = 0.037 eV per atom; volume = 328.7 Å³/f.u.; density of states at the Fermi level = 5.615 states/eV/f.u.
1.0
4.875 0.000 0.000
0.000 4.875 0.000
0.000 0.000 13.827
Tl Cd In
2 1 9
Cartesian
0.000 0.000 2.350
0.000 0.000 11.477
0.000 0.000 6.913
0.000 2.438 0.000
0.000 2.438 4.751
0.000 2.438 9.076
2.438 0.000 0.000
2.438 0.000 4.751
2.438 0.000 9.076
2.438 2.438 2.399
2.438 2.438 6.913
2.438 2.438 11.427



11.
Tb2Pm6Y3Tl (GGA-PBE, relaxed); symmetry = C2/m; ρ = 7.092 g/cm3; calculated formation energy = -0.015 eV per atom; volume = 388.5 Å³/f.u.; density of states at the Fermi level = 13.836 states/eV/f.u.
1.0
3.103 -5.383 0.000
3.103 5.383 0.000
-2.082 0.000 11.630
Tb Pm Y Tl
2 6 3 1
Cartesian
3.103 3.590 0.000
3.103 -3.590 0.000
0.006 1.766 8.751
1.064 0.000 2.890
0.006 -1.766 8.751
4.117 1.766 2.879
3.059 0.000 8.739
4.117 -1.766 2.879
-1.041 0.000 5.815
2.061 1.799 5.815
2.061 -1.799 5.815
3.103 0.000 0.000



12.
Tl2PdI3 (GGA-PBE, relaxed); symmetry = Cmc2_1; energy relative to the elements, uncorrected = -0.34 eV per atom; ρ = 6.198 g/cm3; volume = 240.0 Å³/f.u.; density of states at the Fermi level = 5.713 states/eV/f.u.
1.0
7.000 -4.867 0.000
7.000 4.867 0.000
0.000 0.000 7.046
Tl Pd I
4 2 6
Cartesian
5.175 2.736 3.523
8.826 2.736 3.523
5.175 -2.736 0.000
8.826 -2.736 0.000
7.000 1.966 0.964
7.000 -1.966 4.487
2.173 1.345 3.651
2.173 -1.345 0.128
7.000 0.383 5.763
7.000 -0.383 2.240
11.828 1.345 3.651
11.828 -1.345 0.128



Q: Among the records above, which one has the lowest ρ?
A: BaLiC3



What did the fourth record say?
AgSnPS2 (GGA-PBE, relaxed); symmetry = P4/mmm; relative energy among the computed polymorphs = 0 meV/atom; energy relative to the elements, uncorrected = 0.65 eV per atom; ρ = 4.633 g/cm3; volume = 115.3 Å³/f.u.; density of states at the Fermi level = 3.898 states/eV/f.u.
1.0
4.961 0.000 0.000
0.000 4.961 0.000
0.000 0.000 4.685
Ag Sn P S
1 1 1 2
Cartesian
0.000 0.000 0.000
2.480 2.480 2.343
0.000 0.000 2.343
0.000 2.480 0.000
2.480 0.000 0.000